[1]
DFT (PBE+U) results for a relaxed structure of KMoH2F8.

a = 4.972 Å, b = 4.974 Å, c = 7.791 Å
α = 96.16°, β = 93.29°, γ = 109.28°
Atoms (fractional coordinates):
K1 0.000 0.000 0.000
Mo1 0.000 0.000 0.500
H1 0.450 0.673 0.185
H2 0.550 0.327 0.815
F1 0.221 0.206 0.328
F2 0.221 0.760 0.492
F3 0.260 0.245 0.700
F4 0.307 0.650 0.089
F5 0.693 0.350 0.911
F6 0.740 0.755 0.300
F7 0.779 0.240 0.508
F8 0.779 0.794 0.672

Properties
Magnetic moment in μB/cell: 1.00
V in A^3/atom: 15.0
Energy in eV/atom: -4.741

=====

[2]
DFT (PBE+U) results for a relaxed structure of K2MoHOF5.

a = 6.359 Å, b = 6.359 Å, c = 9.223 Å
α = 90.75°, β = 90.75°, γ = 90.33°
Atoms (fractional coordinates):
K1 0.000 0.000 0.000
K2 0.026 0.500 0.286
K3 0.500 0.974 0.714
K4 0.526 0.474 0.000
Mo1 0.011 0.485 0.767
Mo2 0.515 0.989 0.233
H1 0.006 0.994 0.500
H2 0.519 0.481 0.500
O1 0.035 0.509 0.582
O2 0.491 0.965 0.418
F1 0.228 0.702 0.826
F2 0.229 0.262 0.799
F3 0.297 0.212 0.201
F4 0.298 0.772 0.174
F5 0.546 0.020 0.010
F6 0.738 0.212 0.233
F7 0.738 0.771 0.201
F8 0.788 0.262 0.767
F9 0.788 0.703 0.799
F10 0.980 0.454 0.990

Properties
Magnetic moment in μB/cell: 4.00
V in A^3/atom: 18.6
Energy in eV/atom: -4.844

=====

- Number 1 is which compound?
  KMoH2F8